VASP calculation (PBE) on crystalline Lu2BW at its relaxed geometry.

Summary:
The calculation puts the magnetization at 1.08 Bohr magnetons per cell. For the density, the calculation gives 13.06 g/cm3. Its space-group type is F-43m. As for the total energy: -25.1 eV/cell.

Lattice parameters (Å, degrees): 4.609 4.609 4.609 60.00 60.00 60.00
Atoms (fractional coordinates):
B 0.500 0.500 0.500
Lu 0.000 0.000 0.000
Lu 0.750 0.750 0.750
W 0.250 0.250 0.250